No. 1
# PmY5Ho4

An optimized crystal structure of PmY5Ho4 (GGA-PBE, Alexandria).

## Properties
magnetic moment	0.00	μB per atom
raw total energy	-5.2335	eV/atom
space group	I4

The structure in POSCAR format:
```
PmY5Ho4
1.0
-5.109 5.109 3.155
5.109 -5.109 3.155
5.109 5.109 -3.155
Pm Y Ho
1 5 4
direct
0.000 0.000 0.000
0.454 0.454 0.000
0.494 0.874 0.911
0.583 0.494 0.620
0.874 0.963 0.380
0.963 0.583 0.089
0.180 0.880 0.599
0.281 0.581 0.401
0.581 0.180 0.300
0.880 0.281 0.700
```


No. 2
# K2UCl4F2

An optimized crystal structure of K2UCl4F2 (GGA-PBE, Alexandria).

## Properties
magnetic moment	0.22	μB per atom
raw formation energy	-2.373	eV per atom
space group	C2/m

The structure in POSCAR format:
```
K2UCl4F2
1.0
5.862 -3.819 0.000
5.862 3.819 0.000
-0.884 0.000 5.432
K U Cl F
2 1 4 2
direct
0.172 0.172 0.320
0.828 0.828 0.680
0.500 0.500 0.000
0.135 0.650 0.206
0.350 0.865 0.794
0.650 0.135 0.206
0.865 0.350 0.794
0.360 0.360 0.710
0.640 0.640 0.290
```


No. 3
# Pm3Nd2HoEr6

An optimized crystal structure of Pm3Nd2HoEr6 (GGA-PBE, Alexandria).

## Properties
magnetic moment	0.00	μB per atom
raw total energy	-4.6298	eV/atom
space group	C2/m

The structure in POSCAR format:
```
Pm3Nd2HoEr6
1.0
3.099 -5.366 0.000
3.099 5.366 0.000
-2.057 0.000 11.576
Pm Nd Ho Er
3 2 1 6
direct
0.000 0.000 0.000
0.333 0.667 0.000
0.667 0.333 0.000
0.166 0.834 0.500
0.834 0.166 0.500
0.500 0.500 0.500
0.084 0.417 0.250
0.251 0.251 0.750
0.417 0.084 0.250
0.583 0.916 0.750
0.749 0.749 0.250
0.916 0.583 0.750
```


No. 4
# LaGe2P2

An optimized crystal structure of LaGe2P2 (GGA-PBE, Alexandria).

## Properties
magnetic moment	0.00	μB per atom
ΔE to the lowest computed polymorph	73.2	meV per atom
space group	P4/mbm

The structure in POSCAR format:
```
LaGe2P2
1.0
7.640 0.000 0.000
0.000 7.640 0.000
0.000 0.000 3.875
La Ge P
2 4 4
direct
0.000 0.000 0.000
0.500 0.500 0.000
0.238 0.262 0.500
0.262 0.762 0.500
0.738 0.238 0.500
0.762 0.738 0.500
0.104 0.396 0.000
0.396 0.896 0.000
0.604 0.104 0.000
0.896 0.604 0.000
```


No. 5
# AgSnP2Cl

An optimized crystal structure of AgSnP2Cl (GGA-PBE, Alexandria).

## Properties
magnetic moment	0.26	μB per atom
ΔE to the lowest computed polymorph	109.0	meV per atom
raw formation energy	0.750	eV per atom
space group	P4/mmm

The structure in POSCAR format:
```
AgSnP2Cl
1.0
5.094 0.000 0.000
0.000 5.094 0.000
0.000 0.000 5.228
Ag Sn P Cl
1 1 2 1
direct
0.000 0.000 0.000
0.500 0.500 0.500
0.000 0.500 0.500
0.500 0.000 0.500
0.500 0.500 0.000
```


No. 6
# Te2WS

An optimized crystal structure of Te2WS (GGA-PBE, Alexandria).

## Properties
magnetic moment	0.00	μB per atom
raw formation energy	0.765	eV per atom
space group	I-42d

The structure in POSCAR format:
```
Te2WS
1.0
-3.389 3.389 5.234
3.389 -3.389 5.234
3.389 3.389 -5.234
Te W S
4 2 2
direct
0.091 0.625 0.966
0.375 0.341 0.466
0.659 0.125 0.034
0.875 0.909 0.534
0.000 0.000 0.000
0.750 0.250 0.500
0.250 0.750 0.500
0.500 0.500 0.000
```